Below is HfGaGe3 after structural relaxation, with properties calculated at the PBE level.

## Properties
- symmetry = Pm-3m (221)
- total magnetization (μB/f.u.) = 0.00
- energy of formation from the pure elements (eV per atom) = 0.75

Cell lengths 4.8166, 4.8166, 4.8166 Å; angles 90.00, 90.00, 90.00 degrees
Element x y z (fractional)
Hf  0.0000  0.0000  0.0000
Ga  0.5000  0.5000  0.5000
Ge  0.0000  0.5000  0.5000
Ge  0.5000  0.0000  0.5000
Ge  0.5000  0.5000  0.0000


Below is HfGaGe after structural relaxation, with properties calculated at the PBE level.

## Properties
- symmetry = P-6m2 (187)
- total magnetization (μB/f.u.) = 0.00
- energy of formation from the pure elements (eV per atom) = -0.13

Cell lengths 4.6295, 4.6295, 2.9227 Å; angles 90.00, 90.00, 120.00 degrees
Element x y z (fractional)
Hf  0.0000  0.0000  0.0000
Ga  0.3333  0.6667  0.5000
Ge  0.6667  0.3333  0.5000


Below is Hf3GaGe after structural relaxation, with properties calculated at the PBE level.

## Properties
- symmetry = Pm-3m (221)
- total magnetization (μB/f.u.) = 0.00
- energy of formation from the pure elements (eV per atom) = 0.36

Cell lengths 4.9201, 4.9201, 4.9201 Å; angles 90.00, 90.00, 90.00 degrees
Element x y z (fractional)
Hf  0.0000  0.0000  0.5000
Hf  0.0000  0.5000  0.0000
Hf  0.5000  0.0000  0.0000
Ga  0.5000  0.5000  0.5000
Ge  0.0000  0.0000  0.0000


Below is Hf2GaGe after structural relaxation, with properties calculated at the PBE level.

## Properties
- symmetry = I-42d (122)
- total magnetization (μB/f.u.) = 0.00
- energy of formation from the pure elements (eV per atom) = -0.24

Cell lengths 5.9758, 5.9758, 5.9758 Å; angles 104.18, 104.18, 120.66 degrees
Element x y z (fractional)
Hf  0.1210  0.6250  0.9960
Hf  0.3750  0.3710  0.4960
Hf  0.6290  0.1250  0.0040
Hf  0.8750  0.8790  0.5040
Ga  0.2500  0.7500  0.5000
Ga  0.5000  0.5000  0.0000
Ge  0.0000  0.0000  0.0000
Ge  0.7500  0.2500  0.5000


Below is HfGaGe3 after structural relaxation, with properties calculated at the PBE level.

## Properties
- symmetry = Pm-3m (221)
- total magnetization (μB/f.u.) = 0.00
- energy of formation from the pure elements (eV per atom) = 0.41

Cell lengths 5.1697, 5.1697, 5.1697 Å; angles 90.00, 90.00, 90.00 degrees
Element x y z (fractional)
Hf  0.0000  0.0000  0.0000
Ga  0.5000  0.5000  0.5000
Ge  0.0000  0.0000  0.5000
Ge  0.0000  0.5000  0.0000
Ge  0.5000  0.0000  0.0000


Below is Hf2Ga2Ge after structural relaxation, with properties calculated at the PBE level.

## Properties
- symmetry = P4/mbm (127)
- total magnetization (μB/f.u.) = 0.00
- energy of formation from the pure elements (eV per atom) = -0.32

Cell lengths 6.9805, 6.9805, 4.1033 Å; angles 90.00, 90.00, 90.00 degrees
Element x y z (fractional)
Hf  0.1633  0.3367  0.0000
Hf  0.3367  0.8367  0.0000
Hf  0.6633  0.1633  0.0000
Hf  0.8367  0.6633  0.0000
Ga  0.1400  0.6400  0.5000
Ga  0.3600  0.1400  0.5000
Ga  0.6400  0.8600  0.5000
Ga  0.8600  0.3600  0.5000
Ge  0.0000  0.0000  0.0000
Ge  0.5000  0.5000  0.0000


Below is Hf3Ga4Ge after structural relaxation, with properties calculated at the PBE level.

## Properties
- symmetry = Pmn2_1 (31)
- total magnetization (μB/f.u.) = 0.00
- energy of formation from the pure elements (eV per atom) = -0.36

Cell lengths 9.3428, 5.6216, 5.5868 Å; angles 90.00, 90.00, 90.00 degrees
Element x y z (fractional)
Hf  0.0000  0.1051  0.0000
Hf  0.2375  0.3642  0.3363
Hf  0.2625  0.6358  0.8363
Hf  0.5000  0.8949  0.5000
Hf  0.7375  0.6358  0.8363
Hf  0.7625  0.3642  0.3363
Ga  0.0000  0.0598  0.5127
Ga  0.0000  0.5586  0.5987
Ga  0.2248  0.8668  0.2995
Ga  0.2752  0.1332  0.7995
Ga  0.5000  0.4414  0.0987
Ga  0.5000  0.9402  0.0127
Ga  0.7248  0.1332  0.7995
Ga  0.7752  0.8668  0.2995
Ge  0.0000  0.5941  0.0801
Ge  0.5000  0.4059  0.5801


Below is Hf6Ga2Ge after structural relaxation, with properties calculated at the PBE level.

## Properties
- symmetry = P2_1/c (14)
- total magnetization (μB/f.u.) = 0.00
- energy of formation from the pure elements (eV per atom) = -0.30

Cell lengths 5.5914, 7.3815, 10.4469 Å; angles 90.00, 120.95, 90.00 degrees
Element x y z (fractional)
Hf  0.0808  0.0364  0.2206
Hf  0.0808  0.4636  0.7206
Hf  0.1599  0.6954  0.0529
Hf  0.1599  0.8046  0.5529
Hf  0.4178  0.1596  0.0515
Hf  0.4178  0.3404  0.5515
Hf  0.5822  0.6596  0.4485
Hf  0.5822  0.8404  0.9485
Hf  0.8401  0.1954  0.4471
Hf  0.8401  0.3046  0.9471
Hf  0.9192  0.5364  0.2794
Hf  0.9192  0.9636  0.7794
Ga  0.3431  0.1175  0.7423
Ga  0.3431  0.3825  0.2423
Ga  0.6569  0.6175  0.7577
Ga  0.6569  0.8825  0.2577
Ge  0.5000  0.0000  0.5000
Ge  0.5000  0.5000  0.0000


Below is Hf2GaGe after structural relaxation, with properties calculated at the PBE level.

## Properties
- symmetry = P2_1/m (11)
- total magnetization (μB/f.u.) = 0.00
- energy of formation from the pure elements (eV per atom) = -0.63

Cell lengths 5.3884, 3.8318, 7.6516 Å; angles 90.00, 110.33, 90.00 degrees
Element x y z (fractional)
Hf  0.2087  0.2500  0.4269
Hf  0.2832  0.7500  0.0696
Hf  0.7168  0.2500  0.9304
Hf  0.7913  0.7500  0.5731
Ga  0.3836  0.7500  0.7061
Ga  0.6164  0.2500  0.2939
Ge  0.1251  0.2500  0.7936
Ge  0.8749  0.7500  0.2064


Below is Hf6GaGe3 after structural relaxation, with properties calculated at the PBE level.

## Properties
- symmetry = Cmc2_1 (36)
- total magnetization (μB/f.u.) = 0.00
- energy of formation from the pure elements (eV per atom) = -0.31

Cell lengths 8.1399, 8.1399, 6.7217 Å; angles 90.00, 90.00, 106.43 degrees
Element x y z (fractional)
Hf  0.0048  0.9952  0.5000
Hf  0.0819  0.5307  0.9943
Hf  0.2510  0.7490  0.3700
Hf  0.2748  0.3796  0.3975
Hf  0.3796  0.2748  0.8975
Hf  0.4693  0.9181  0.9943
Hf  0.5307  0.0819  0.4943
Hf  0.6204  0.7252  0.3975
Hf  0.7252  0.6204  0.8975
Hf  0.7490  0.2510  0.8700
Hf  0.9181  0.4693  0.4943
Hf  0.9952  0.0048  0.0000
Ga  0.1708  0.8292  0.7485
Ga  0.8292  0.1708  0.2485
Ge  0.0821  0.2813  0.7292
Ge  0.2813  0.0821  0.2292
Ge  0.4193  0.5807  0.0836
Ge  0.5807  0.4193  0.5836
Ge  0.7187  0.9179  0.7292
Ge  0.9179  0.7187  0.2292


Below is Hf3Ga2Ge after structural relaxation, with properties calculated at the PBE level.

## Properties
- symmetry = Pnma (62)
- total magnetization (μB/f.u.) = 0.00
- energy of formation from the pure elements (eV per atom) = -0.44

Cell lengths 11.2274, 3.8806, 10.4236 Å; angles 90.00, 90.00, 90.00 degrees
Element x y z (fractional)
Hf  0.0340  0.2500  0.1132
Hf  0.1160  0.7500  0.5690
Hf  0.2050  0.2500  0.8054
Hf  0.2950  0.7500  0.3054
Hf  0.3840  0.2500  0.0690
Hf  0.4660  0.7500  0.6132
Hf  0.5340  0.2500  0.3868
Hf  0.6160  0.7500  0.9310
Hf  0.7050  0.2500  0.6946
Hf  0.7950  0.7500  0.1946
Hf  0.8840  0.2500  0.4310
Hf  0.9660  0.7500  0.8868
Ga  0.0141  0.7500  0.3000
Ga  0.1920  0.7500  0.0326
Ga  0.3080  0.2500  0.5326
Ga  0.4859  0.2500  0.8000
Ga  0.5141  0.7500  0.2000
Ga  0.6920  0.7500  0.4674
Ga  0.8080  0.2500  0.9674
Ga  0.9859  0.2500  0.7000
Ge  0.1344  0.2500  0.3756
Ge  0.3656  0.7500  0.8756
Ge  0.6344  0.2500  0.1244
Ge  0.8656  0.7500  0.6244


Below is Hf2GaGe2 after structural relaxation, with properties calculated at the PBE level.

## Properties
- symmetry = I4/mmm (139)
- total magnetization (μB/f.u.) = 0.00
- energy of formation from the pure elements (eV per atom) = -0.25

Cell lengths 8.0000, 8.0000, 8.0000 Å; angles 154.19, 154.19, 36.82 degrees
Element x y z (fractional)
Hf  0.1056  0.1056  0.0000
Hf  0.8944  0.8944  0.0000
Ga  0.5000  0.5000  0.0000
Ge  0.2500  0.7500  0.5000
Ge  0.7500  0.2500  0.5000


Question: Look up the total magnetization of the sixth one.
Answer: 0.00 μB/f.u.